[1]
The following is a DFT calculation (PBE-GGA) of a relaxed structure of YAg3Pb.

Cell: 5.436 5.436 5.436 Å, 90.00 90.00 90.00°
Fractional positions:
Ag  0.500  0.000  0.000
Ag  0.000  0.500  0.000
Pb  0.500  0.500  0.500
Ag  0.000  0.000  0.500
Y  0.000  0.000  0.000

Output
DFT formation energy (meV per atom): 779.0
Raw total energy (eV/atom): -2.966
Excess energy over the best structure of this formula in the dataset (meV/atom): 815
Fermi-level density of states (states/eV/cell): 4.6
Calculated volume (A^3/atom): 32.1

***

[2]
The following is a DFT calculation (PBE-GGA) of a relaxed structure of Fe2CoNi.

Cell: 3.917 3.917 3.917 Å, 60.00 60.00 60.00°
Fractional positions:
Fe  0.250  0.250  0.250
Ni  0.500  0.500  0.500
Fe  0.750  0.750  0.750
Co  0.000  0.000  0.000

Output
DFT formation energy (meV per atom): 433.1
Raw total energy (eV/atom): -7.020
Excess energy over the best structure of this formula in the dataset (meV/atom): 445
Fermi-level density of states (states/eV/cell): 18.0
Calculated volume (A^3/atom): 10.6

***

[3]
The following is a DFT calculation (PBE-GGA) of a relaxed structure of EuDyInIr.

Cell: 5.132 5.132 5.132 Å, 60.00 60.00 60.00°
Each line ends with the local moment (μB).
Fractional positions:
Eu  0.750  0.750  0.750  6.73
Ir  0.000  0.000  0.000  -0.08
In  0.500  0.500  0.500  0.01
Dy  0.250  0.250  0.250  0.01

Output
DFT formation energy (meV per atom): -394.3
Raw total energy (eV/atom): -7.013
Fermi-level density of states (states/eV/cell): 6.9
Calculated volume (A^3/atom): 23.9